(1)
Compound: Sm2TmThSe5
Source: Alexandria
Functional: PBE
Structure: optimized geometry

Lattice parameters (Å, degrees): 5.0613 5.0613 10.9062 90.00 90.00 90.00
Fractional positions:
Sm (0.5000, 0.5000, 0.3323)
Sm (0.5000, 0.5000, 0.6677)
Tm (0.0000, 0.0000, 0.5000)
Th (0.0000, 0.0000, 0.0000)
Se (0.0000, 0.5000, 0.5000)
Se (0.5000, 0.0000, 0.5000)
Se (0.0000, 0.0000, 0.7497)
Se (0.0000, 0.0000, 0.2503)
Se (0.5000, 0.5000, 0.0000)

Values from the calculation:
- Volume: 31.0 Å³/atom
- M_tot: 0.0 μB per formula unit
- ΔE_f (raw): -1.142 eV/atom
- Crystal system: tetragonal

---

(2)
Compound: Te3PIr
Source: Alexandria
Functional: PBE
Structure: optimized geometry

Lattice parameters (Å, degrees): 5.0637 5.0637 5.0637 90.00 90.00 90.00
Fractional positions:
P (0.0000, 0.0000, 0.0000)
Ir (0.5000, 0.5000, 0.5000)
Te (0.0000, 0.5000, 0.0000)
Te (0.0000, 0.0000, 0.5000)
Te (0.5000, 0.0000, 0.0000)

Values from the calculation:
- Volume: 26.0 Å³/atom
- M_tot: 0.0 μB per formula unit
- Polymorph energy (0 for the lowest one): 360 meV/atom
- ΔE_f (raw): 1.232 eV/atom
- Crystal system: cubic

---

(3)
Compound: CdTcO3
Source: Alexandria
Functional: PBE
Structure: optimized geometry

Lattice parameters (Å, degrees): 4.0719 4.0719 4.0719 90.00 90.00 90.00
Last column: magnetic moment on the atom in μB.
Fractional positions:
Tc (0.5000, 0.5000, 0.5000)  3.90
O (0.0000, 0.5000, 0.0000)  0.04
O (0.0000, 0.0000, 0.5000)  0.07
O (0.5000, 0.0000, 0.0000)  0.05
Cd (0.0000, 0.0000, 0.0000)  0.00

Values from the calculation:
- Volume: 13.5 Å³/atom
- M_tot: 4.5 μB per formula unit
- ΔE_f (raw): 0.536 eV/atom
- Crystal system: cubic

---

(4)
Compound: BC5
Source: Alexandria
Functional: PBE
Structure: optimized geometry

Lattice parameters (Å, degrees): 5.9729 5.9729 5.9729 155.68 155.68 34.66
Fractional positions:
B (0.7500, 0.2500, 0.5000)
C (0.8437, 0.8437, 0.0000)
C (0.1563, 0.1563, 0.0000)
C (0.5000, 0.5000, 0.0000)
C (0.4199, 0.9199, 0.5000)
C (0.0801, 0.5801, 0.5000)

Values from the calculation:
- Volume: 6.0 Å³/atom
- M_tot: 0.0 μB per formula unit
- Polymorph energy (0 for the lowest one): 14 meV/atom
- Crystal system: tetragonal
- Calculated formation energy: 0.22 eV/atom

---

(5)
Compound: Er8Hg3CS3
Source: Alexandria
Functional: PBE
Structure: optimized geometry

Lattice parameters (Å, degrees): 7.5453 7.5495 8.7218 115.72 90.00 119.98
Fractional positions:
Er (0.2633, 0.5266, 0.2905)
Er (0.7367, 0.4734, 0.7095)
Er (0.7840, 0.5678, 0.3030)
Er (0.2160, 0.4322, 0.6970)
Er (0.7845, 0.0192, 0.3033)
Er (0.2155, 0.9808, 0.6967)
Er (0.2348, 0.0191, 0.3035)
Er (0.7652, 0.9809, 0.6965)
Hg (0.0000, 0.0000, 0.0000)
Hg (0.0000, 0.5000, 0.0000)
Hg (0.5000, 0.5000, 0.0000)
C (0.0000, 0.0000, 0.5000)
S (0.5000, 0.0000, 0.5000)
S (0.5000, 0.5000, 0.5000)
S (0.0000, 0.5000, 0.5000)

Values from the calculation:
- Volume: 24.8 Å³/atom
- M_tot: 0.0 μB per formula unit
- ΔE_f (raw): -0.985 eV/atom
- Crystal system: monoclinic

---

(6)
Compound: Cs4Ho3ScTe8
Source: Alexandria
Functional: PBE
Structure: optimized geometry

Lattice parameters (Å, degrees): 8.9985 10.3032 8.9973 115.90 120.00 90.00
Fractional positions:
Cs (0.5000, 0.0000, 0.0000)
Cs (0.5000, 0.0000, 0.5000)
Cs (0.0000, 0.0000, 0.0000)
Cs (0.0000, 0.0000, 0.5000)
Ho (0.5000, 0.5000, 0.0000)
Ho (0.5000, 0.5000, 0.5000)
Ho (0.0000, 0.5000, 0.5000)
Sc (0.0000, 0.5000, 0.0000)
Te (0.2240, 0.6855, 0.9616)
Te (0.2240, 0.6855, 0.4480)
Te (0.2699, 0.3098, 0.5398)
Te (0.7376, 0.6855, 0.9616)
Te (0.2624, 0.3145, 0.0384)
Te (0.7301, 0.6902, 0.4602)
Te (0.7760, 0.3145, 0.5520)
Te (0.7760, 0.3145, 0.0384)

Values from the calculation:
- Volume: 39.0 Å³/atom
- M_tot: 0.0 μB per formula unit
- ΔE_f (raw): -1.338 eV/atom
- Crystal system: trigonal